VASP calculation (GGA-PBE) on a relaxed structure of Y2TePd2.

Values from the calculation:
ΔE to the lowest computed polymorph ... 0.318 eV/atom

a b c (Å): 4.9821 4.9821 10.4638
angles (deg): 90.00 90.00 90.00
Closest atoms and distances in Å follow each position.
Space group I4/mmm (No. 139)
One atom of each set of equivalent atoms:
Y  0.0000  0.5000  0.2500 [4 per cell]  4 Pd 2.83
Te  0.0000  0.0000  0.0000 [2 per cell]  8 Y 3.61, 10 Pd 3.75-3.95
Pd  0.0000  0.0000  0.3775 [4 per cell]  1 Pd 2.56, 4 Y 2.83

***

VASP calculation (GGA-PBE) on a relaxed structure of Y5Te4Pd.

Values from the calculation:
Raw total energy ... -6.2240 eV/atom

a b c (Å): 9.6673 9.6673 6.1543
angles (deg): 90.00 90.00 90.00
Closest atoms and distances in Å follow each position.
Space group I4/m (No. 87)
One atom of each set of equivalent atoms:
Y  0.0000  0.0000  0.0000 [2 per cell]  2 Pd 3.08, 4 Te 3.10
Y  0.0977  0.2734  0.5000 [8 per cell]  1 Pd 2.81, 4 Te 3.10-3.13
Te  0.0886  0.3078  0.0000 [8 per cell]  6 Y 3.10-3.18
Pd  0.0000  0.0000  0.5000 [2 per cell]  6 Y 2.81-3.08

***

VASP calculation (GGA-PBE) on a relaxed structure of Y6Te3Pd.

Values from the calculation:
Raw total energy ... -6.2427 eV/atom

a b c (Å): 11.3488 4.0320 13.1738
angles (deg): 90.00 105.85 90.00
Closest atoms and distances in Å follow each position.
Space group P2_1/m (No. 11)
One atom of each set of equivalent atoms:
Y  0.0239  0.2500  0.3482 [2 per cell]  4 Te 3.13-3.35
Y  0.0668  0.2500  0.8892 [2 per cell]  4 Te 3.03-3.26
Y  0.2737  0.7500  0.3287 [2 per cell]  2 Pd 3.02, 3 Te 3.09-3.15
Y  0.2983  0.7500  0.7627 [2 per cell]  3 Te 3.04-3.09, 1 Pd 3.07
Y  0.4016  0.2500  0.5599 [2 per cell]  2 Pd 2.92, 2 Te 3.23
Y  0.4136  0.7500  0.1235 [2 per cell]  2 Pd 2.98, 3 Te 3.07-3.09
Te  0.1503  0.2500  0.1465 [2 per cell]  6 Y 3.12-3.35
Te  0.1711  0.7500  0.5233 [2 per cell]  7 Y 3.09-3.23
Te  0.3443  0.2500  0.9416 [2 per cell]  6 Y 3.03-3.09
Pd  0.4583  0.2500  0.2962 [2 per cell]  7 Y 2.92-3.07

***

VASP calculation (GGA-PBE) on a relaxed structure of YTePd2.

Values from the calculation:
Raw total energy ... -5.6281 eV/atom

a b c (Å): 4.2908 4.2908 19.3742
angles (deg): 90.00 90.00 90.00
Closest atoms and distances in Å follow each position.
Space group I-42d (No. 122)
One atom of each set of equivalent atoms:
Y  0.0000  0.0000  0.0000 [4 per cell]  4 Pd 2.88, 4 Te 3.03
Te  0.0000  0.0000  0.5000 [4 per cell]  4 Pd 2.84, 4 Y 3.03
Pd  0.2381  0.2500  0.6250 [8 per cell]  2 Te 2.84, 2 Y 2.88, 4 Pd 2.96-3.11